# 1
Density functional theory data (GGA-PBE) for a relaxed structure of Si3AsCl.

Cell and atoms, written as POSCAR:
```
Si3AsCl
1.0
4.777 0.000 0.000
0.000 4.777 0.000
0.000 0.000 4.777
Si As Cl
3 1 1
Direct
0.000 0.000 0.500 Si
0.000 0.500 0.000 Si
0.500 0.000 0.000 Si
0.500 0.500 0.500 As
0.000 0.000 0.000 Cl
```

The calculation puts the density of states at the Fermi level at 3.31 states/eV per cell. The symmetry is Pm-3m. The magnetic moment comes out at 0.0 μB/cell. Its formation energy (no corrections) is 1249 meV per atom.



# 2
Density functional theory data (GGA-PBE) for a relaxed structure of SiAsCl2.

Cell and atoms, written as POSCAR:
```
SiAsCl2
1.0
3.185 0.000 0.000
0.000 4.434 0.000
0.000 0.000 5.665
Si As Cl
1 1 2
Direct
0.000 0.000 0.000 Si
0.500 0.000 0.500 As
0.000 0.500 0.500 Cl
0.500 0.500 0.000 Cl
```

The calculation puts the density of states at the Fermi level at 1.30 states/eV per cell. The symmetry is Pmmm. The magnetic moment comes out at 0.0 μB/cell. Its formation energy (no corrections) is 236 meV per atom.



# 3
Density functional theory data (GGA-PBE) for a relaxed structure of Sm4SiAs2Cl.

Cell and atoms, written as POSCAR:
```
Sm4SiAs2Cl
1.0
7.231 0.000 0.000
0.000 4.200 0.000
-2.383 0.000 6.846
Sm Si As Cl
4 1 2 1
Direct
0.239 0.000 0.234 Sm
0.249 0.500 0.757 Sm
0.751 0.500 0.243 Sm
0.761 0.000 0.766 Sm
0.500 0.000 0.000 Si
0.000 0.000 0.500 As
0.000 0.500 0.000 As
0.500 0.500 0.500 Cl
```

The calculation puts the density of states at the Fermi level at 2.06 states/eV per cell. The symmetry is P2/m. The magnetic moment comes out at 0.0 μB/cell. Its formation energy (no corrections) is -1361 meV per atom.



# 4
Density functional theory data (GGA-PBE) for a relaxed structure of ZnSiAs2Cl.

Cell and atoms, written as POSCAR:
```
ZnSiAs2Cl
1.0
4.795 0.000 0.000
0.000 4.795 0.000
0.000 0.000 4.918
Zn Si As Cl
1 1 2 1
Direct
0.000 0.000 0.000 Zn
0.000 0.000 0.500 Si
0.000 0.500 0.500 As
0.500 0.000 0.500 As
0.500 0.500 0.000 Cl
```

The calculation puts the density of states at the Fermi level at 5.08 states/eV per cell. The symmetry is P4/mmm. The magnetic moment comes out at 0.0 μB/cell. Its formation energy (no corrections) is 483 meV per atom.



# 5
Density functional theory data (GGA-PBE) for a relaxed structure of ZnSiAs2Cl.

Cell and atoms, written as POSCAR:
```
ZnSiAs2Cl
1.0
4.878 0.000 0.000
0.000 4.878 0.000
0.000 0.000 4.658
Zn Si As Cl
1 1 2 1
Direct
0.000 0.000 0.000 Zn
0.500 0.500 0.500 Si
0.000 0.500 0.500 As
0.500 0.000 0.500 As
0.500 0.500 0.000 Cl
```

The calculation puts the density of states at the Fermi level at 3.56 states/eV per cell. The symmetry is P4/mmm. The magnetic moment comes out at 0.0 μB/cell. Its formation energy (no corrections) is 450 meV per atom.



# 6
Density functional theory data (GGA-PBE) for a relaxed structure of Sm8As6Cl.

Cell and atoms, written as POSCAR:
```
Sm8As6Cl
1.0
11.151 0.000 0.000
-5.576 9.657 0.000
0.000 0.000 4.332
Sm As Cl
8 6 1
Direct
0.037 0.370 0.244 Sm
0.333 0.667 0.753 Sm
0.333 0.963 0.244 Sm
0.370 0.333 0.756 Sm
0.630 0.667 0.244 Sm
0.667 0.037 0.756 Sm
0.667 0.333 0.247 Sm
0.963 0.630 0.756 Sm
0.143 0.667 0.255 As
0.333 0.475 0.255 As
0.475 0.143 0.745 As
0.525 0.857 0.255 As
0.667 0.525 0.745 As
0.857 0.333 0.745 As
0.000 0.000 0.000 Cl
```

The calculation puts the density of states at the Fermi level at 10.35 states/eV per cell. The symmetry is P-3. The magnetic moment comes out at 0.0 μB/cell. Its formation energy (no corrections) is -1199 meV per atom.



# 7
Density functional theory data (GGA-PBE) for a relaxed structure of SmAsCl.

Cell and atoms, written as POSCAR:
```
SmAsCl
1.0
4.172 0.000 0.000
-2.086 3.613 0.000
0.000 0.000 12.110
Sm As Cl
2 2 2
Direct
0.333 0.667 0.306 Sm
0.667 0.333 0.694 Sm
0.333 0.667 0.551 As
0.667 0.333 0.449 As
0.000 0.000 0.172 Cl
0.000 0.000 0.828 Cl
```

The calculation puts the density of states at the Fermi level at 1.73 states/eV per cell. The symmetry is P-3m1. The magnetic moment comes out at 0.0 μB/cell. Its formation energy (no corrections) is -1320 meV per atom.



# 8
Density functional theory data (GGA-PBE) for a relaxed structure of Sm4As3Cl.

Cell and atoms, written as POSCAR:
```
Sm4As3Cl
1.0
4.198 -5.919 0.000
4.198 5.919 0.000
0.000 0.000 4.190
Sm As Cl
4 3 1
Direct
0.235 0.235 0.500 Sm
0.244 0.756 0.000 Sm
0.756 0.244 0.000 Sm
0.765 0.765 0.500 Sm
0.000 0.000 0.000 As
0.000 0.500 0.500 As
0.500 0.000 0.500 As
0.500 0.500 0.000 Cl
```

The calculation puts the density of states at the Fermi level at 2.73 states/eV per cell. The symmetry is Cmmm. The magnetic moment comes out at 0.0 μB/cell. Its formation energy (no corrections) is -1559 meV per atom.



# 9
Density functional theory data (GGA-PBE) for a relaxed structure of Sm5As4Cl.

Cell and atoms, written as POSCAR:
```
Sm5As4Cl
1.0
6.959 -2.102 0.000
6.959 2.102 0.000
-5.096 0.000 8.976
Sm As Cl
5 4 1
Direct
0.000 0.000 0.000 Sm
0.206 0.206 0.813 Sm
0.393 0.393 0.610 Sm
0.607 0.607 0.390 Sm
0.794 0.794 0.187 Sm
0.205 0.205 0.302 As
0.403 0.403 0.106 As
0.597 0.597 0.894 As
0.795 0.795 0.698 As
0.000 0.000 0.500 Cl
```

The calculation puts the density of states at the Fermi level at 3.43 states/eV per cell. The symmetry is C2/m. The magnetic moment comes out at 0.0 μB/cell. Its formation energy (no corrections) is -1565 meV per atom.



# 10
Density functional theory data (GGA-PBE) for a relaxed structure of Sm6As5Cl.

Cell and atoms, written as POSCAR:
```
Sm6As5Cl
1.0
3.645 -6.303 0.000
3.645 6.303 0.000
-2.425 0.000 6.851
Sm As Cl
6 5 1
Direct
0.068 0.414 0.743 Sm
0.239 0.239 0.257 Sm
0.414 0.068 0.743 Sm
0.586 0.932 0.257 Sm
0.761 0.761 0.743 Sm
0.932 0.586 0.257 Sm
0.000 0.000 0.500 As
0.167 0.833 0.000 As
0.337 0.663 0.500 As
0.663 0.337 0.500 As
0.833 0.167 0.000 As
0.500 0.500 0.000 Cl
```

The calculation puts the density of states at the Fermi level at 2.71 states/eV per cell. The symmetry is C2/m. The magnetic moment comes out at 0.0 μB/cell. Its formation energy (no corrections) is -1578 meV per atom.



# 11
Density functional theory data (GGA-PBE) for a relaxed structure of Sm2AsCl2.

Cell and atoms, written as POSCAR:
```
Sm2AsCl2
1.0
2.061 1.190 10.213
-2.061 1.190 10.213
0.000 -2.380 10.213
Sm As Cl
2 1 2
Direct
0.113 0.113 0.113 Sm
0.887 0.887 0.887 Sm
0.500 0.500 0.500 As
0.274 0.274 0.274 Cl
0.726 0.726 0.726 Cl
```

The calculation puts the density of states at the Fermi level at 1.82 states/eV per cell. The symmetry is R-3m. The magnetic moment comes out at 0.0 μB/cell. Its formation energy (no corrections) is -1900 meV per atom.



# 12
Density functional theory data (GGA-PBE) for a relaxed structure of Sm8Te4As3Cl.

Cell and atoms, written as POSCAR:
```
Sm8Te4As3Cl
1.0
4.274 2.467 7.205
-4.274 2.467 7.205
0.000 -4.935 7.205
Sm Te As Cl
8 4 3 1
Direct
0.229 0.745 0.745 Sm
0.239 0.239 0.239 Sm
0.255 0.255 0.771 Sm
0.255 0.771 0.255 Sm
0.745 0.229 0.745 Sm
0.745 0.745 0.229 Sm
0.761 0.761 0.761 Sm
0.771 0.255 0.255 Sm
0.000 0.000 0.000 Te
0.000 0.500 0.500 Te
0.500 0.000 0.500 Te
0.500 0.500 0.000 Te
0.000 0.000 0.500 As
0.000 0.500 0.000 As
0.500 0.000 0.000 As
0.500 0.500 0.500 Cl
```

The calculation puts the density of states at the Fermi level at 6.47 states/eV per cell. The symmetry is R-3m. The magnetic moment comes out at 0.0 μB/cell. Its formation energy (no corrections) is -1490 meV per atom.



Copy entry 4 word for word.
Density functional theory data (GGA-PBE) for a relaxed structure of ZnSiAs2Cl.

Cell and atoms, written as POSCAR:
```
ZnSiAs2Cl
1.0
4.795 0.000 0.000
0.000 4.795 0.000
0.000 0.000 4.918
Zn Si As Cl
1 1 2 1
Direct
0.000 0.000 0.000 Zn
0.000 0.000 0.500 Si
0.000 0.500 0.500 As
0.500 0.000 0.500 As
0.500 0.500 0.000 Cl
```

The calculation puts the density of states at the Fermi level at 5.08 states/eV per cell. The symmetry is P4/mmm. The magnetic moment comes out at 0.0 μB/cell. Its formation energy (no corrections) is 483 meV per atom.